(1)
First-principles (PBE) data for a relaxed structure of ThZn2Ni2P, as listed in the Alexandria database.

magnetization	0.00	Bohr magnetons per cell
energy of formation from the pure elements	-2.63	eV/f.u.
calculated total energy	-4.93	eV/atom

Unit cell a=4.2800 b=4.2800 c=5.5789 alpha=90.00 beta=90.00 gamma=90.00
Space group P4/mmm (No. 123)
Inequivalent atoms, fractional coordinates:
Th (0.0000, 0.0000, 0.0000)
Zn (0.5000, 0.5000, 0.2354)
Ni (0.0000, 0.5000, 0.5000)
P (0.0000, 0.0000, 0.5000)

(2)
First-principles (PBE) data for a relaxed structure of RbNa2AgO, as listed in the Alexandria database.

magnetization	0.00	Bohr magnetons per cell
E_form (uncorrected)	-568	meV/atom
calculated total energy	-2.85	eV/atom

Unit cell a=4.7727 b=4.7727 c=5.6684 alpha=90.00 beta=90.00 gamma=90.00
Space group P4/mmm (No. 123)
Inequivalent atoms, fractional coordinates:
Rb (0.0000, 0.0000, 0.0000)
Na (0.0000, 0.5000, 0.5000)
Ag (0.5000, 0.5000, 0.0000)
O (0.0000, 0.0000, 0.5000)

(3)
First-principles (PBE) data for a relaxed structure of Tb2CuBr8, as listed in the Alexandria database.

magnetization	1.69	Bohr magnetons per cell
E_form (uncorrected)	-1253	meV/atom
calculated total energy	-3.68	eV/atom

Unit cell a=14.4605 b=9.3372 c=7.3788 alpha=90.00 beta=90.87 gamma=90.00
Space group C2/m (No. 12)
Inequivalent atoms, fractional coordinates:
Tb (0.1913, 0.0000, 0.1717)
Cu (0.0000, 0.0000, 0.5000)
Br (0.0792, 0.1956, 0.3389)
Br (0.1362, 0.5000, 0.7276)
Br (0.1785, 0.0000, 0.8132)

(4)
First-principles (PBE) data for a relaxed structure of K2RuBr, as listed in the Alexandria database.

magnetization	3.00	Bohr magnetons per cell
E_form (uncorrected)	386	meV/atom
calculated total energy	-2.90	eV/atom

Unit cell a=4.8337 b=4.8337 c=7.0823 alpha=90.00 beta=90.00 gamma=90.00
Space group P4mm (No. 99)
Inequivalent atoms, fractional coordinates:
K (0.0000, 0.0000, 0.0000)
K (0.5000, 0.5000, 0.4982)
Ru (0.5000, 0.5000, 0.9980)
Br (0.0000, 0.0000, 0.4977)

(5)
First-principles (PBE) data for a relaxed structure of TbAlGaHg, as listed in the Alexandria database.

magnetization	0.00	Bohr magnetons per cell
energy of formation from the pure elements	-0.95	eV/f.u.
calculated total energy	-3.16	eV/atom

Unit cell a=7.0118 b=7.0118 c=7.0118 alpha=90.00 beta=90.00 gamma=90.00
Space group F-43m (No. 216)
Inequivalent atoms, fractional coordinates:
Tb (0.0000, 0.0000, 0.0000)
Al (0.0000, 0.0000, 0.5000)
Ga (0.2500, 0.2500, 0.7500)
Hg (0.2500, 0.2500, 0.2500)

(6)
First-principles (PBE) data for a relaxed structure of SiTe3, as listed in the Alexandria database.

magnetization	0.00	Bohr magnetons per cell
E_form (uncorrected)	486	meV/atom
calculated total energy	-3.23	eV/atom

Unit cell a=5.2745 b=5.2745 c=3.7305 alpha=90.00 beta=90.00 gamma=90.00
Space group P4/mmm (No. 123)
Inequivalent atoms, fractional coordinates:
Si (0.0000, 0.0000, 0.0000)
Te (0.0000, 0.5000, 0.5000)
Te (0.5000, 0.5000, 0.0000)

- Which formula does entry 2 have?
  RbNa2AgO